1.
Computed, not measured: a relaxed HgRhCl2 crystal at the PBE-GGA level of DFT.

a = 10.234 Å, b = 10.234 Å, c = 10.234 Å
α = 20.25°, β = 20.25°, γ = 20.25°
Fractional coordinates of all 4 atoms:
Hg1 0.000 0.000 0.000
Rh1 0.500 0.500 0.500
Cl1 0.122 0.122 0.122
Cl2 0.878 0.878 0.878

Computed properties:
Uncorrected energy   -3.024 eV/atom
Symmetry   R-3m
Magnetization   1.0 μB/f.u.
Energy above the most stable polymorph in this dataset   43 kJ/mol of formula units
Formation energy without anion corrections   -0.187 eV per atom

2.
Computed, not measured: a relaxed TlTe2Br2 crystal at the PBE-GGA level of DFT.

a = 8.416 Å, b = 8.416 Å, c = 5.018 Å
α = 90.00°, β = 90.00°, γ = 90.00°
Fractional coordinates of all 10 atoms:
Tl1 0.000 0.000 0.000
Tl2 0.500 0.500 0.000
Te1 0.112 0.388 0.000
Te2 0.388 0.888 0.000
Te3 0.612 0.112 0.000
Te4 0.888 0.612 0.000
Br1 0.229 0.729 0.500
Br2 0.271 0.229 0.500
Br3 0.729 0.771 0.500
Br4 0.771 0.271 0.500

Computed properties:
Uncorrected energy   -2.515 eV/atom
Symmetry   P4/mbm
Magnetization   0.0 μB/f.u.
Energy above the most stable polymorph in this dataset   33 kJ/mol of formula units
Formation energy without anion corrections   -0.116 eV per atom